VASP calculation (PBE) on a relaxed structure of Gd2Ho4H.

a = 9.180 Å, b = 9.180 Å, c = 9.180 Å
α = 149.57°, β = 149.57°, γ = 43.57°
Fractional coordinates of all 7 atoms:
Gd 0.149 0.149 0.000
Gd 0.851 0.851 0.000
Ho 0.000 0.500 0.500
Ho 0.352 0.352 0.000
Ho 0.500 0.000 0.500
Ho 0.648 0.648 0.000
H 0.500 0.500 0.000

**Uncorrected energy**: -7.05 eV/atom
**D(E_F)**: 7.29 states/eV per cell


VASP calculation (PBE) on a relaxed structure of Gd5Ho3H12.

a = 11.376 Å, b = 11.376 Å, c = 11.376 Å
α = 109.47°, β = 109.47°, γ = 109.47°
Fractional coordinates of all 80 atoms:
Gd 0.000 0.000 0.000
Gd 0.000 0.000 0.500
Gd 0.000 0.500 0.000
Gd 0.000 0.500 0.500
Gd 0.125 0.750 0.875
Gd 0.125 0.875 0.250
Gd 0.250 0.125 0.875
Gd 0.250 0.625 0.375
Gd 0.375 0.250 0.625
Gd 0.375 0.625 0.750
Gd 0.500 0.000 0.000
Gd 0.500 0.000 0.500
Gd 0.500 0.500 0.000
Gd 0.500 0.500 0.500
Gd 0.625 0.375 0.250
Gd 0.625 0.750 0.375
Gd 0.750 0.375 0.625
Gd 0.750 0.875 0.125
Gd 0.875 0.125 0.750
Gd 0.875 0.250 0.125
Ho 0.125 0.250 0.375
Ho 0.125 0.375 0.750
Ho 0.250 0.375 0.125
Ho 0.250 0.875 0.625
Ho 0.375 0.125 0.250
Ho 0.375 0.750 0.125
Ho 0.625 0.250 0.875
Ho 0.625 0.875 0.750
Ho 0.750 0.125 0.375
Ho 0.750 0.625 0.875
Ho 0.875 0.625 0.250
Ho 0.875 0.750 0.625
H 0.066 0.651 0.226
H 0.066 0.915 0.840
H 0.075 0.160 0.726
H 0.075 0.415 0.349
H 0.085 0.160 0.934
H 0.085 0.425 0.151
H 0.151 0.085 0.425
H 0.151 0.566 0.726
H 0.160 0.726 0.075
H 0.160 0.934 0.085
H 0.226 0.066 0.651
H 0.226 0.660 0.575
H 0.274 0.849 0.434
H 0.274 0.925 0.840
H 0.340 0.415 0.566
H 0.340 0.425 0.774
H 0.349 0.075 0.415
H 0.349 0.774 0.934
H 0.415 0.349 0.075
H 0.415 0.566 0.340
H 0.425 0.151 0.085
H 0.425 0.774 0.340
H 0.434 0.274 0.849
H 0.434 0.660 0.585
H 0.566 0.340 0.415
H 0.566 0.726 0.151
H 0.575 0.226 0.660
H 0.575 0.849 0.915
H 0.585 0.434 0.660
H 0.585 0.651 0.925
H 0.651 0.226 0.066
H 0.651 0.925 0.585
H 0.660 0.575 0.226
H 0.660 0.585 0.434
H 0.726 0.075 0.160
H 0.726 0.151 0.566
H 0.774 0.340 0.425
H 0.774 0.934 0.349
H 0.840 0.066 0.915
H 0.840 0.274 0.925
H 0.849 0.434 0.274
H 0.849 0.915 0.575
H 0.915 0.575 0.849
H 0.915 0.840 0.066
H 0.925 0.585 0.651
H 0.925 0.840 0.274
H 0.934 0.085 0.160
H 0.934 0.349 0.774

**Uncorrected energy**: -6.68 eV/atom
**D(E_F)**: 45.23 states/eV per cell


VASP calculation (PBE) on a relaxed structure of GdHo2H.

a = 3.331 Å, b = 3.331 Å, c = 8.482 Å
α = 90.00°, β = 90.00°, γ = 90.00°
Fractional coordinates of all 4 atoms:
Gd 0.000 0.000 0.000
Ho 0.500 0.500 0.310
Ho 0.500 0.500 0.690
H 0.000 0.000 0.500

**Offset from the most stable computed form**: 315 meV per atom
**D(E_F)**: 4.10 states/eV per cell


VASP calculation (PBE) on a relaxed structure of GdHoH2.

a = 6.023 Å, b = 6.023 Å, c = 6.023 Å
α = 33.66°, β = 33.66°, γ = 33.66°
Fractional coordinates of all 4 atoms:
Gd 0.000 0.000 0.000
Ho 0.500 0.500 0.500
H 0.247 0.247 0.247
H 0.753 0.753 0.753

**Uncorrected energy**: -6.72 eV/atom
**D(E_F)**: 2.09 states/eV per cell


- D(E_F) of number 1 (Gd2Ho4H)?
  7.29 states/eV per cell